NdInAu4 | PBE-GGA | relaxed

Properties
Energy relative to the lowest polymorph listed for this composition (eV per atom): 0.000
Formation enthalpy at 0 K (kJ/mol of atoms): -43.8
Final energy (eV/atom): -3.8895
N(E_F) (states/eV per cell): 6.4

abc: 8.0091 8.0091 8.0091
angles: 90.00 90.00 90.00
Space group F-43m (No. 216)
One atom of each set of equivalent atoms:
Nd1 0.0000 0.0000 0.0000
In1 0.2500 0.2500 0.2500
Au1 0.1248 0.1248 0.6248